Entry 1:
Y2ReNiAg | GGA-PBE | relaxed

a b c (Å): 5.3822 5.3822 4.4841
angles (deg): 90.00 90.00 90.00
Space group P4/mmm (No. 123)
Symmetry-distinct sites (fractional):
Y 0.0000 0.5000 0.0000 x2
Re 0.0000 0.0000 0.0000 x1
Ni 0.0000 0.0000 0.5000 x1
Ag 0.5000 0.5000 0.5000 x1



Entry 2:
Li2MgIO6 | GGA-PBE | relaxed

**Uncorrected formation energy**: -12.66 eV per formula unit

a b c (Å): 5.2570 5.2963 9.2020
angles (deg): 90.00 124.83 90.00
Space group P2_1/c (No. 14)
Symmetry-distinct sites (fractional):
Li 0.2204 0.0318 0.2399 x4
Mg 0.0000 0.0000 0.5000 x2
I 0.5000 0.0000 0.0000 x2
O 0.1593 0.0669 0.7653 x4
O 0.2348 0.6599 0.5482 x4
O 0.4188 0.1873 0.5672 x4



| no. | density (g/cm³) | total DFT energy (no corrections) (eV for the cell shown) |
| --- | --- | --- |
| 1 | 6.78 | -31.50 |
| 2 | 4.12 | -98.76 |